Record 1
The following is a DFT calculation (PBE-GGA) of a relaxed Ca2CuSn crystal.

abc: 3.8146 3.8146 30.1801
angles: 90.00 90.00 120.00
Space group R-3m (No. 166, hexagonal axes)
Asymmetric unit:
Ca 0.0000 0.0000 0.1050
Cu 0.0000 0.0000 0.5000
Sn 0.0000 0.0000 0.0000

Its total magnetization is 0.00 μB/f.u. For the calculated formation energy, the calculation gives 0.109 eV per atom. Its density is 3.437 g/cm³. Its total DFT energy (no corrections) is -2.9161 eV/atom.

=====

Record 2
The following is a DFT calculation (PBE-GGA) of a relaxed CsNaPu2Cl8 crystal.

abc: 6.950 8.687 7.044
angles: 90.00 95.09 90.00
Space group P2/m (No. 10)
Asymmetric unit:
Cs 0.000 0.000 0.000
Na 0.000 0.500 0.000
Pu 0.500 0.258 0.500
Cl 0.265 0.285 0.182
Cl 0.292 0.500 0.638
Cl 0.296 0.000 0.616

Its total magnetization is 10.00 μB/f.u. Its density is 3.636 g/cm³. Its total DFT energy (no corrections) is -5.6813 eV/atom.

=====

Record 3
The following is a DFT calculation (PBE-GGA) of a relaxed SrHo2OsN4 crystal.

abc: 3.471 11.942 12.073
angles: 90.00 90.00 90.00
Space group Cmcm (No. 63)
Asymmetric unit:
Sr 0.000 0.071 0.250
Ho 0.000 0.370 0.042
Os 0.000 0.188 0.750
N 0.000 0.000 0.000
N 0.000 0.257 0.608
N 0.000 0.396 0.250

Its total magnetization is 0.00 μB/f.u. Its density is 8.810 g/cm³. Its total DFT energy (no corrections) is -7.8037 eV/atom.

=====

Record 4
The following is a DFT calculation (PBE-GGA) of a relaxed AcMgP crystal.

abc: 4.4416 4.4416 4.4809
angles: 90.00 90.00 120.00
Space group P-6m2 (No. 187)
Asymmetric unit:
Ac 0.0000 0.0000 0.0000
Mg 0.6667 0.3333 0.5000
P 0.3333 0.6667 0.5000

Its total magnetization is 0.00 μB/f.u. For the calculated formation energy, the calculation gives -0.753 eV per atom. Its density is 6.123 g/cm³. Its total DFT energy (no corrections) is -4.4570 eV/atom. For the relative energy among the computed polymorphs, the calculation gives 0.0 kJ/mol of atoms.

=====

Record 5
The following is a DFT calculation (PBE-GGA) of a relaxed GdTiInAg crystal.

abc: 7.114 7.114 7.114
angles: 90.00 90.00 90.00
Space group F-43m (No. 216)
Asymmetric unit:
Gd 0.000 0.000 0.000
Ti 0.000 0.000 0.500
In 0.250 0.250 0.250
Ag 0.250 0.250 0.750

Its total magnetization is 8.49 μB/f.u. For the calculated formation energy, the calculation gives -0.123 eV per atom. Its density is 7.893 g/cm³. Its total DFT energy (no corrections) is -7.0140 eV/atom.

=====

Record 6
The following is a DFT calculation (PBE-GGA) of a relaxed GaNiIrBr2 crystal.

abc: 4.838 4.838 4.681
angles: 90.00 90.00 90.00
Space group P4/mmm (No. 123)
Asymmetric unit:
Ga 0.000 0.000 0.000
Ni 0.500 0.500 0.500
Ir 0.500 0.500 0.000
Br 0.000 0.500 0.500

Its total magnetization is 1.76 μB/f.u. Its density is 7.281 g/cm³. Its total DFT energy (no corrections) is -3.5162 eV/atom.

=====

Record 7
The following is a DFT calculation (PBE-GGA) of a relaxed Y2ScPb crystal.

abc: 3.734 3.734 8.226
angles: 90.00 90.00 90.00
Space group P4mm (No. 99)
Asymmetric unit:
Y 0.000 0.000 0.000
Y 0.500 0.500 0.289
Sc 0.500 0.500 0.743
Pb 0.000 0.000 0.538

Its total magnetization is 0.14 μB/f.u. For the calculated formation energy, the calculation gives -0.191 eV per atom. Its density is 6.225 g/cm³. Its total DFT energy (no corrections) is -5.9331 eV/atom.

=====

Record 8
The following is a DFT calculation (PBE-GGA) of a relaxed KAgGeO2 crystal.

abc: 4.488 4.488 5.678
angles: 90.00 90.00 90.00
Space group P4/mmm (No. 123)
Asymmetric unit:
K 0.000 0.000 0.000
Ag 0.500 0.500 0.500
Ge 0.000 0.000 0.500
O 0.000 0.500 0.000

Its total magnetization is 0.00 μB/f.u. Its density is 3.654 g/cm³. Its total DFT energy (no corrections) is -2.5592 eV/atom.

=====

Record 9
The following is a DFT calculation (PBE-GGA) of a relaxed TiTc6B4 crystal.

abc: 5.585 5.585 8.143
angles: 90.00 90.00 90.00
Space group I-42m (No. 121)
Asymmetric unit:
Ti 0.000 0.000 0.000
Tc 0.000 0.500 0.000
Tc 0.188 0.188 0.730
B 0.143 0.143 0.442

Its total magnetization is 0.00 μB/f.u. For the calculated formation energy, the calculation gives -0.296 eV per atom. Its density is 8.878 g/cm³. Its total DFT energy (no corrections) is -9.0961 eV/atom.

=====

Record 10
The following is a DFT calculation (PBE-GGA) of a relaxed Th4Te5C2 crystal.

abc: 4.235 8.261 18.533
angles: 90.00 90.00 90.00
Space group Immm (No. 71)
Asymmetric unit:
Th 0.000 0.000 0.168
Th 0.000 0.291 0.500
Te 0.000 0.220 0.334
Te 0.000 0.500 0.000
C 0.000 0.000 0.038

Its total magnetization is 0.00 μB/f.u. Its density is 8.145 g/cm³. Its total DFT energy (no corrections) is -6.7265 eV/atom.

=====

Record 11
The following is a DFT calculation (PBE-GGA) of a relaxed Ba2H2Pt crystal.

abc: 8.090 8.090 3.408
angles: 90.00 90.00 90.00
Space group P4/mbm (No. 127)
Asymmetric unit:
Ba 0.171 0.329 0.000
H 0.117 0.617 0.500
Pt 0.000 0.000 0.000

Its total magnetization is 0.00 μB/f.u. Its density is 7.024 g/cm³. Its total DFT energy (no corrections) is -3.5986 eV/atom. For the relative energy among the computed polymorphs, the calculation gives 24.2 kJ/mol of atoms.

=====

Record 12
The following is a DFT calculation (PBE-GGA) of a relaxed KMo2Pt crystal.

abc: 3.376 4.579 9.976
angles: 90.00 90.00 90.00
Space group Cmm2 (No. 35)
Asymmetric unit:
K 0.000 0.000 0.000
Mo 0.000 0.000 0.520
Mo 0.000 0.500 0.320
Pt 0.000 0.500 0.728

Its total magnetization is 0.00 μB/f.u. For the calculated formation energy, the calculation gives 0.453 eV per atom. Its density is 9.175 g/cm³. Its total DFT energy (no corrections) is -6.7476 eV/atom. For the relative energy among the computed polymorphs, the calculation gives 4.6 kJ/mol of atoms.